Entry 1:
The following is a GGA-PBE calculation of a relaxed MgBePt3 crystal, from Alexandria.

Cell: 4.5567 4.5567 4.5567 Å, 90.00 90.00 90.00°
Positions (direct):
Pt1 0.5000 0.0000 0.0000
Pt2 0.0000 0.5000 0.0000
Pt3 0.0000 0.0000 0.5000
Mg1 0.0000 0.0000 0.0000
Be1 0.5000 0.5000 0.5000

Properties
energy relative to the elements	5.0	eV/f.u.
size of the total moment	0.00	μB/f.u.
V	95	Å³ per cell
space group	No. 221
final energy	-0.1353	hartree per atom
offset from the most stable computed form	1485.2	meV per atom
density of states at the Fermi level	0.2357	states/eV per atom



Entry 2:
The following is a GGA-PBE calculation of a relaxed Mg2BePt crystal, from Alexandria.

Cell: 7.1592 7.1592 5.6768 Å, 50.91 50.91 90.00°
Positions (direct):
Be1 0.2500 0.7500 0.5000
Be2 0.5000 0.5000 0.0000
Mg1 0.3750 0.3831 0.7500
Mg2 0.1331 0.6250 0.2500
Mg3 0.8750 0.8669 0.7500
Mg4 0.6169 0.1250 0.2500
Pt1 0.0000 0.0000 0.0000
Pt2 0.7500 0.2500 0.5000

Properties
energy relative to the elements	0.2	eV/f.u.
size of the total moment	0.00	μB/f.u.
V	132	Å³ per cell
space group	No. 122
final energy	-0.1171	hartree per atom
density of states at the Fermi level	0.1449	states/eV per atom



Entry 3:
The following is a GGA-PBE calculation of a relaxed Mg2BePt crystal, from Alexandria.

Cell: 8.7142 8.7142 8.7142 Å, 19.99 19.99 19.99°
Positions (direct):
Pt1 0.4871 0.4871 0.4871
Mg1 0.0124 0.0124 0.0124
Mg2 0.2383 0.2383 0.2383
Be1 0.7622 0.7622 0.7622

Properties
energy relative to the elements	-0.5	eV/f.u.
size of the total moment	0.00	μB/f.u.
V	68	Å³ per cell
space group	No. 160
final energy	-0.1238	hartree per atom
density of states at the Fermi level	0.4150	states/eV per atom



Please write out number 1 again, unchanged.
The following is a GGA-PBE calculation of a relaxed MgBePt3 crystal, from Alexandria.

Cell: 4.5567 4.5567 4.5567 Å, 90.00 90.00 90.00°
Positions (direct):
Pt1 0.5000 0.0000 0.0000
Pt2 0.0000 0.5000 0.0000
Pt3 0.0000 0.0000 0.5000
Mg1 0.0000 0.0000 0.0000
Be1 0.5000 0.5000 0.5000

Properties
energy relative to the elements	5.0	eV/f.u.
size of the total moment	0.00	μB/f.u.
V	95	Å³ per cell
space group	No. 221
final energy	-0.1353	hartree per atom
offset from the most stable computed form	1485.2	meV per atom
density of states at the Fermi level	0.2357	states/eV per atom



> What is the energy relative to the elements in the first record?

5.0 eV/f.u.